1:
PBE Y2TaRh, optimized geometry; V = 98 Å³/f.u.; DOS at the Fermi energy = 5.56 states/eV/f.u.; SG = No. 38
1.0
3.6267 0.0000 0.0000
0.0000 4.8201 -0.0086
0.0000 2.4257 5.6264
Rh Ta Y
1 1 2
Cartesian
0.0000 4.5267 2.5814
1.8134 4.5307 4.2360
0.0000 6.9425 5.2919
1.8134 2.1146 1.9349



2:
PBE Y2TaRh, optimized geometry; V = 96 Å³/f.u.; DOS at the Fermi energy = 3.85 states/eV/f.u.; SG = No. 160
1.0
-4.2753 7.8657 4.0049
-5.4432 8.1165 0.8248
-7.0296 6.1142 3.0639
Rh Ta Y
1 1 2
Cartesian
-8.2189 10.8435 3.8737
-12.8306 16.9279 6.0472
-0.1695 0.2236 0.0799
-3.9032 5.1497 1.8396



3:
PBE Y2TaRh, optimized geometry; V = 88 Å³/f.u.; DOS at the Fermi energy = 3.96 states/eV/f.u.; SG = No. 119
1.0
5.9892 -0.0039 0.0000
3.1848 5.0723 0.0000
-4.5870 -2.5342 2.8997
Rh Ta Y
1 1 2
Cartesian
4.5870 2.5342 0.0000
2.9946 -0.0020 1.4499
0.0000 0.0000 0.0000
1.5924 2.5362 1.4499



4:
PBE Y2TaRh, optimized geometry; V = 90 Å³/f.u.; DOS at the Fermi energy = 3.45 states/eV/f.u.; SG = No. 225
1.0
3.9350 -1.6242 2.6730
-0.2591 -0.1482 5.0178
-0.2289 -4.4241 2.3753
Y Rh Ta
2 1 1
Cartesian
0.8617 -1.5491 2.5165
2.5852 -4.6474 7.5495
0.0000 0.0000 0.0000
1.7235 -3.0982 5.0330



Of them, 1 has the highest stability.



1:
PBE YTa3Rh, optimized geometry; V = 117 Å³/f.u.; DOS at the Fermi energy = 9.11 states/eV/f.u.; SG = No. 221
1.0
-1.9894 1.6634 4.1437
-4.4512 -0.3801 -1.9844
-0.3531 -4.5808 1.6693
Y Rh Ta
1 1 3
Cartesian
-3.3968 -1.6487 1.9144
0.0000 0.0000 0.0000
-2.2256 -0.1900 -0.9922
-0.1765 -2.2904 0.8347
-0.9947 0.8317 2.0719



2:
PBE YTa3Rh, optimized geometry; V = 113 Å³/f.u.; DOS at the Fermi energy = 7.29 states/eV/f.u.; SG = No. 221
1.0
-4.7369 0.6770 0.7051
-0.7587 -0.3465 -4.7643
-0.6164 -4.7766 0.4456
Y Rh Ta
1 1 3
Cartesian
0.0000 0.0000 0.0000
-3.0560 -2.2230 -1.8068
-0.3794 -0.1733 -2.3821
-0.3082 -2.3883 0.2228
-2.3685 0.3385 0.3526



Of them, 1 has the highest stability.



1:
PBE Y2Ta2Rh, optimized geometry; V = 118 Å³/f.u.; DOS at the Fermi energy = 6.59 states/eV/f.u.; SG = No. 127
1.0
-6.7040 -1.3232 1.3527
1.7291 -6.3065 2.4004
0.5346 1.8402 4.4497
Y Rh Ta
4 2 4
Cartesian
-0.8280 -5.7491 2.4771
-4.4920 -5.2727 2.7203
-4.1469 -1.8807 1.2760
-0.4828 -2.3571 1.0328
0.0000 0.0000 0.0000
-2.4874 -3.8149 1.8765
0.4571 -3.2680 3.9341
-2.4993 -5.3722 5.1595
-4.8974 -2.5216 4.2687
-1.9409 -0.4174 3.0433



2:
PBE Y2Ta2Rh, optimized geometry; V = 120 Å³/f.u.; DOS at the Fermi energy = 4.96 states/eV/f.u.; SG = No. 139
1.0
-0.5110 3.3095 -1.4711
-3.0157 0.4339 2.0236
3.1604 5.5434 6.8264
Y Rh Ta
2 1 2
Cartesian
-0.8713 2.5369 1.4630
0.5050 6.7499 5.9160
0.0000 0.0000 0.0000
0.4430 5.3623 2.8158
-0.8093 3.9245 4.5632



Of them, 2 has the highest stability.



1:
PBE YTa2Rh2, optimized geometry; V = 93 Å³/f.u.; DOS at the Fermi energy = 4.97 states/eV/f.u.; SG = No. 127
1.0
7.8576 0.0000 0.0000
0.0000 7.8576 0.0000
0.0000 0.0000 2.9984
Y Rh Ta
2 4 4
Cartesian
0.0000 0.0000 0.0000
3.9288 3.9288 0.0000
2.9091 6.8380 0.0000
6.8380 4.9485 0.0000
4.9485 1.0197 0.0000
1.0197 2.9091 0.0000
1.2587 5.1875 1.4992
5.1875 6.5989 1.4992
6.5989 2.6701 1.4992
2.6701 1.2587 1.4992



2:
PBE YTa2Rh2, optimized geometry; V = 105 Å³/f.u.; DOS at the Fermi energy = 5.40 states/eV/f.u.; SG = No. 139
1.0
-0.6963 -0.3027 4.5096
1.0111 -4.4576 -0.1431
4.9756 -1.3134 2.9988
Y Rh Ta
1 2 2
Cartesian
0.0000 0.0000 0.0000
2.2183 -1.9981 4.8458
3.0720 -4.0756 2.5195
1.4685 -2.0899 2.4052
3.8219 -3.9838 4.9601



3:
PBE YTa2Rh2, optimized geometry; V = 102 Å³/f.u.; DOS at the Fermi energy = 4.26 states/eV/f.u.; SG = No. 139
1.0
4.4291 0.0000 0.0000
0.0000 4.4291 0.0000
2.2145 2.2145 5.2166
Y Rh Ta
1 2 2
Cartesian
0.0000 0.0000 0.0000
2.2145 2.2145 1.3099
4.4291 4.4291 3.9067
4.4291 2.2145 2.6083
2.2145 4.4291 2.6083



Of them, 3 has the highest stability.



1:
PBE Ta3ZnRh, optimized geometry; V = 99 Å³/f.u.; DOS at the Fermi energy = 5.34 states/eV/f.u.; SG = No. 221
1.0
-3.2988 -1.2830 -2.9784
2.8471 -3.1799 -1.7836
-1.5527 -3.1050 3.0573
Zn Rh Ta
1 1 3
Cartesian
0.0000 0.0000 0.0000
-1.0022 -3.7839 -0.8524
1.4235 -1.5900 -0.8918
-0.7763 -1.5525 1.5286
-1.6494 -0.6415 -1.4892



2:
PBE Ta3ZnRh, optimized geometry; V = 111 Å³/f.u.; DOS at the Fermi energy = 4.73 states/eV/f.u.; SG = No. 221
1.0
4.7987 0.0000 0.0000
0.0000 4.7987 0.0000
0.0000 0.0000 4.7987
Zn Rh Ta
1 1 3
Cartesian
2.3994 2.3994 2.3994
0.0000 0.0000 0.0000
0.0000 2.3994 0.0000
0.0000 0.0000 2.3994
2.3994 0.0000 0.0000



Of them, 2 has the highest stability.



1:
PBE TaZnRh3, optimized geometry; V = 79 Å³/f.u.; DOS at the Fermi energy = 2.81 states/eV/f.u.; SG = No. 63
1.0
4.4970 0.0000 0.0000
0.0000 6.3688 0.0031
0.0000 -3.1800 5.5181
Ta Zn Rh
2 2 6
Cartesian
1.1242 0.0065 3.6777
3.3727 3.1823 1.8435
0.0000 0.0000 0.0000
2.2485 0.0000 0.0000
1.1242 4.4893 1.0887
3.3727 -1.3005 4.4326
1.1242 3.1848 3.3499
3.3727 0.0040 2.1713
1.1242 1.8787 1.0885
3.3727 1.3101 4.4327



2:
PBE TaZnRh3, optimized geometry; V = 105 Å³/f.u.; DOS at the Fermi energy = 0.91 states/eV/f.u.; SG = No. 221
1.0
4.7160 0.0000 0.0000
0.0000 4.7160 0.0000
0.0000 0.0000 4.7160
Zn Rh Ta
1 3 1
Cartesian
2.3580 2.3580 2.3580
0.0000 2.3580 0.0000
0.0000 0.0000 2.3580
2.3580 0.0000 0.0000
0.0000 0.0000 0.0000



3:
PBE TaZnRh3, optimized geometry; V = 86 Å³/f.u.; DOS at the Fermi energy = 0.35 states/eV/f.u.; SG = No. 221
1.0
4.4224 0.0000 0.0000
0.0000 4.4224 0.0000
0.0000 0.0000 4.4224
Zn Rh Ta
1 3 1
Cartesian
0.0000 0.0000 0.0000
0.0000 2.2112 0.0000
0.0000 0.0000 2.2112
2.2112 0.0000 0.0000
2.2112 2.2112 2.2112



Of them, 1 has the highest stability.



1:
PBE Zr2TaRh2, optimized geometry; V = 93 Å³/f.u.; DOS at the Fermi energy = 5.84 states/eV/f.u.; SG = No. 127
1.0
-4.7901 -2.9042 5.4726
-2.9912 -4.9738 -5.2576
2.0921 -2.0461 0.7454
Rh Zr Ta
4 4 2
Cartesian
-1.5984 -4.6731 -2.2244
-4.6057 -7.1434 -0.5644
-4.0907 -5.2510 3.1847
-1.0834 -2.7807 1.5247
-4.1925 -5.2173 -2.5543
-6.0097 -5.7086 1.1976
-3.5888 -2.6607 2.7692
-1.7716 -2.1694 -0.9827
0.0000 0.0000 0.0000
-3.8906 -3.9390 0.1075



2:
PBE Zr2TaRh2, optimized geometry; V = 93 Å³/f.u.; DOS at the Fermi energy = 6.28 states/eV/f.u.; SG = No. 127
1.0
-3.4905 -3.4318 5.5582
4.4863 -5.8400 -0.7884
2.1701 1.3689 2.2080
Rh Zr Ta
4 4 2
Cartesian
2.6103 -6.3385 1.3644
-0.2001 -6.6680 4.3306
-1.6145 -2.9332 3.4053
1.1958 -2.6038 0.4391
3.4995 -3.8306 1.5303
2.4538 -6.4571 4.1864
-0.3336 -4.0723 5.4474
0.7120 -1.4457 2.7913
0.0000 0.0000 0.0000
0.4979 -4.6359 2.3849



Of them, 2 has the highest stability.



1:
PBE Tb5Rh3, optimized geometry; V = 188 Å³/f.u.; DOS at the Fermi energy = 6.70 states/eV/f.u.; SG = No. 193
1.0
-6.4425 4.9805 -1.4538
0.6931 -7.1632 -4.0784
-3.2960 -2.9266 4.5801
Tb Rh
10 6
Cartesian
-4.0640 0.9326 -2.3287
-1.6854 -3.1153 -3.2035
-3.3334 -4.5786 -0.9135
-5.7120 -0.5307 -0.0386
-6.7877 -3.8334 -0.7177
-4.0785 -0.9531 3.0725
-2.2992 -3.9812 2.4181
-2.2577 -1.2759 -0.2345
-5.6600 3.0069 0.0537
-0.3037 -6.1086 -1.9164
-4.7525 -3.0607 1.2407
-6.3591 0.8100 2.5579
-2.0538 -6.5169 0.9743
-4.2929 -2.0486 -2.1929
-3.3794 1.2438 0.5684
-0.5491 -3.5729 -0.4727



2:
PBE Tb5Rh3, optimized geometry; V = 191 Å³/f.u.; DOS at the Fermi energy = 4.99 states/eV/f.u.; SG = No. 130
1.0
-1.6486 -4.1688 4.5333
-4.4024 -6.5289 -7.6051
9.6151 -5.0968 -1.1904
Tb Rh
20 12
Cartesian
-1.0518 -3.9435 -0.5957
6.0228 -10.2150 0.6930
-3.7138 -8.7534 -1.5039
5.0093 -10.8561 -4.7484
3.5622 -11.5515 -1.4309
-1.2147 -6.4979 -3.0041
5.1723 -8.3017 -2.3401
-1.2532 -7.4170 0.6200
2.0095 -6.0382 0.7313
4.5500 -4.8635 -1.7478
0.2692 -7.7572 -5.9657
1.1611 -10.7513 -3.9115
2.6082 -10.0560 -7.2290
-2.2299 -10.0127 -4.4655
5.4006 -6.7768 1.2852
2.2110 -2.5647 -0.4845
-0.8243 -2.0844 2.2666
0.0000 0.0000 0.0000
2.6064 -5.8129 -4.3977
1.7821 -7.8973 -2.1311
-2.6514 -7.3501 -5.4819
3.1719 -12.9583 -4.0382
-0.4320 -4.9206 2.0427
7.0399 -6.3600 -1.0470
-0.7932 -9.1605 -1.9877
2.9986 -8.6491 -4.6217
1.3898 -5.0610 -1.9071
3.5330 -8.7185 -0.0079
-2.4074 -3.7859 -3.2355
-3.2317 -5.8703 -0.9689
3.3652 -6.1958 3.3710
4.1895 -4.1114 1.1044



Of them, 2 has the highest stability.